A plane-wave DFT calculation with PBE-GGA was carried out for a geometry-optimized AlTc structure.

abc: 4.280 4.280 4.888
angles: 90.00 90.00 120.00
Fractional coordinates of all 4 atoms:
Al 0.333 0.667 0.250
Al 0.667 0.333 0.750
Tc 0.333 0.667 0.750
Tc 0.667 0.333 0.250

Output
- E: -25.4 eV per cell
- Symmetry: No. 194
- Size of the total moment: 0.0 μB per cell